A plane-wave DFT calculation with PBE was carried out for a relaxed Sc2AgOs crystal.

POSCAR file:
```
Sc2AgOs
1.0
-1.651 -0.606 -2.719
1.710 -2.715 -0.433
-4.786 -3.606 3.709
Sc Ag Os
2 1 1
Cartesian
-1.023 -2.453 -0.761
-3.704 -4.474 1.318
-2.393 -1.803 1.855
0.000 0.000 0.000
```

Calculated values
Crystal system   tetragonal
Uncorrected energy   -0.26203 hartree per atom